The following is a DFT calculation (GGA-PBE) of Cs2BiAs after structural relaxation.

The structure belongs to space group Pmmn (No. 59, origin choice 2); the cell edges are 4.515, 11.200 and 7.389 Å and the angles 90.00°, 90.00° and 90.00°. Symmetry generates all atoms from Cs at (0.250, 0.054, 0.237), Bi at (0.250, 0.250, 0.740) and As at (0.250, 0.750, 0.029).

For the theoretical density, the calculation gives 4.9 g cm⁻³. The final energy is -2.938 eV/atom. The calculation puts the energy relative to the elements at -378.5 meV per atom. As for the volume: 374 Å³/cell.


The following is a DFT calculation (GGA-PBE) of HfIn2Pt after structural relaxation.

The structure belongs to space group Fm-3m (No. 225); the cell edges are 6.842, 6.842 and 6.842 Å and the angles 90.00°, 90.00° and 90.00°. Symmetry generates all atoms from Hf at (0.000, 0.000, 0.000), In at (0.250, 0.250, 0.250) and Pt at (0.000, 0.000, 0.500).

For the theoretical density, the calculation gives 12.5 g cm⁻³. The final energy is -5.493 eV/atom. The calculation puts the energy relative to the elements at -125.1 meV per atom. As for the volume: 320 Å³/cell.


The following is a DFT calculation (GGA-PBE) of Cd2AsO2 after structural relaxation.

The structure belongs to space group Fddd (No. 70, origin choice 2); the cell edges are 9.504, 13.796 and 13.870 Å and the angles 90.00°, 90.00° and 90.00°. Symmetry generates all atoms from Cd at (0.026, 0.052, 0.303), As at (0.000, 0.000, 0.500) and O at (0.054, 0.370, 0.927).

For the theoretical density, the calculation gives 4.8 g cm⁻³. The final energy is -3.277 eV/atom. As for the volume: 1819 Å³/cell. For the uncorrected formation energy, the calculation gives 0.002 eV/atom.


The following is a DFT calculation (GGA-PBE) of CoRh2 after structural relaxation.

The structure belongs to space group C2/m (No. 12); the cell edges are 8.469, 3.745 and 5.318 Å and the angles 90.00°, 109.62° and 90.00°. Symmetry generates all atoms from Co at (0.165, 0.000, 0.078), Rh at (0.006, 0.500, 0.760) and Rh at (0.170, 0.000, 0.591).

For the theoretical density, the calculation gives 11.1 g cm⁻³. The final energy is -7.205 eV/atom. The calculation puts the energy relative to the elements at 64.8 meV per atom. As for the volume: 159 Å³/cell.


The following is a DFT calculation (GGA-PBE) of VGaAu after structural relaxation.

The structure belongs to space group P-1 (No. 2); the cell edges are 2.829, 5.372 and 6.537 Å and the angles 103.82°, 102.25° and 91.86°. Symmetry generates all atoms from V at (0.016, 0.275, 0.003), Ga at (0.342, 0.397, 0.681) and Au at (0.338, 0.898, 0.683).

For the theoretical density, the calculation gives 11.2 g cm⁻³. The final energy is -5.270 eV/atom. The calculation puts the energy relative to the elements at -129.5 meV per atom. As for the volume: 94 Å³/cell.


The following is a DFT calculation (GGA-PBE) of SrEuHg after structural relaxation.

The structure belongs to space group P3m1 (No. 156); the cell edges are 5.4760, 5.4760 and 4.3927 Å and the angles 90.00°, 90.00° and 120.00°. Symmetry generates all atoms from Sr at (0.0000, 0.0000, 0.0000), Eu at (0.3333, 0.6667, 0.4858) and Hg at (0.6667, 0.3333, 0.6174).

For the theoretical density, the calculation gives 6.4 g cm⁻³. The final energy is -4.313 eV/atom. The calculation puts the energy relative to the elements at -227.2 meV per atom. As for the volume: 114 Å³/cell.


The following is a DFT calculation (GGA-PBE) of PrSmDyHg after structural relaxation.

The structure belongs to space group F-43m (No. 216); the cell edges are 7.806, 7.806 and 7.806 Å and the angles 90.00°, 90.00° and 90.00°. Symmetry generates all atoms from Pr at (0.000, 0.000, 0.000), Sm at (0.000, 0.000, 0.500), Dy at (0.250, 0.250, 0.750) and Hg at (0.250, 0.250, 0.250).

For the theoretical density, the calculation gives 9.1 g cm⁻³. The final energy is -3.670 eV/atom. The calculation puts the energy relative to the elements at -69.7 meV per atom. As for the volume: 476 Å³/cell.


The following is a DFT calculation (GGA-PBE) of Hf4Zr2Sc3 after structural relaxation.

The structure belongs to space group P-1 (No. 2); the cell edges are 6.351, 7.795 and 8.692 Å and the angles 79.80°, 89.87° and 78.16°. Symmetry generates all atoms from Hf at (0.001, 0.494, 0.168), Hf at (0.094, 0.137, 0.376), Hf at (0.329, 0.186, 0.043), Hf at (0.420, 0.833, 0.278), Zr at (0.413, 0.855, 0.622), Zr at (0.499, 0.503, 0.831), Sc at (0.081, 0.173, 0.718), Sc at (0.172, 0.817, 0.958) and Sc at (0.253, 0.503, 0.499).

For the theoretical density, the calculation gives 8.3 g cm⁻³. The final energy is -8.417 eV/atom. The calculation puts the energy relative to the elements at 16.6 meV per atom. As for the volume: 414 Å³/cell.